The following is a DFT calculation (PBE-GGA) of a relaxed AlTlPtO6 crystal.

abc: 5.1430 5.1430 9.4592
angles: 90.00 90.00 120.00
Closest atoms and distances in Å follow each position.
Positions (direct):
Al1 0.6667 0.3333 0.2500  6 O 1.91
Al2 0.3333 0.6667 0.7500  6 O 1.91
Tl1 0.0000 0.0000 0.0000  6 O 2.30
Tl2 0.0000 0.0000 0.5000  6 O 2.30
Pt1 0.3333 0.6667 0.2500  6 O 1.98
Pt2 0.6667 0.3333 0.7500  6 O 1.98
O1 0.6392 0.6290 0.1396  1 Al 1.91, 1 Pt 1.98
O2 0.9898 0.3608 0.1396  1 Al 1.91, 1 Pt 1.98
O3 0.3608 0.9898 0.6396  1 Al 1.91, 1 Pt 1.98
O4 0.0102 0.6392 0.8604  1 Al 1.91, 1 Pt 1.98
O5 0.3710 0.3608 0.3604  1 Al 1.91, 1 Pt 1.98
O6 0.9898 0.6290 0.3604  1 Al 1.91, 1 Pt 1.98
O7 0.6290 0.9898 0.8604  1 Al 1.91, 1 Pt 1.98
O8 0.6392 0.0102 0.3604  1 Al 1.91, 1 Pt 1.98
O9 0.0102 0.3710 0.6396  1 Al 1.91, 1 Pt 1.98
O10 0.3710 0.0102 0.1396  1 Al 1.91, 1 Pt 1.98
O11 0.6290 0.6392 0.6396  1 Al 1.91, 1 Pt 1.98
O12 0.3608 0.3710 0.8604  1 Al 1.91, 1 Pt 1.98

Computed properties:
- VASP energy (eV/atom) = -5.75